No. 1
## TlMo2PbI (GGA-PBEsol)

Data for TlMo2PbI after structural relaxation.

Cell and atoms, written as CIF:
```
data_TlMo2PbI
_cell_length_a 4.983
_cell_length_b 4.983
_cell_length_c 5.881
_cell_angle_alpha 90.00
_cell_angle_beta 90.00
_cell_angle_gamma 90.00
_space_group_name_H-M_alt 'P 4/m m m'
_space_group_IT_number 123
_space_group_name_Hall '-P 4 2'
loop_
_atom_site_label
_atom_site_fract_x
_atom_site_fract_y
_atom_site_fract_z
_atom_site_occupancy
Tl1 0.000 0.000 0.000 1
Mo1 0.000 0.500 0.500 1
Pb1 0.500 0.500 0.000 1
I1 0.500 0.500 0.500 1
```

- size of the total moment (μB/atom) = 0.76
- N(E_F) (states/eV/f.u.) = 4.06
- E_form (uncorrected) (eV per atom) = 1.847

No. 2
## TeMoPdI2 (GGA-PBEsol)

Data for TeMoPdI2 after structural relaxation.

Cell and atoms, written as CIF:
```
data_TeMoPdI2
_cell_length_a 5.446
_cell_length_b 5.446
_cell_length_c 5.104
_cell_angle_alpha 90.00
_cell_angle_beta 90.00
_cell_angle_gamma 90.00
_space_group_name_H-M_alt 'P 4/m m m'
_space_group_IT_number 123
_space_group_name_Hall '-P 4 2'
loop_
_atom_site_label
_atom_site_fract_x
_atom_site_fract_y
_atom_site_fract_z
_atom_site_occupancy
Te1 0.000 0.000 0.000 1
Mo1 0.000 0.000 0.500 1
Pd1 0.500 0.500 0.000 1
I1 0.000 0.500 0.500 1
```

- size of the total moment (μB/atom) = 0.22
- N(E_F) (states/eV/f.u.) = 6.07
- E_form (uncorrected) (eV per atom) = 0.830

No. 3
## ReMoPtI2 (GGA-PBEsol)

Data for ReMoPtI2 after structural relaxation.

Cell and atoms, written as CIF:
```
data_ReMoPtI2
_cell_length_a 5.159
_cell_length_b 5.159
_cell_length_c 4.778
_cell_angle_alpha 90.00
_cell_angle_beta 90.00
_cell_angle_gamma 90.00
_space_group_name_H-M_alt 'P 4/m m m'
_space_group_IT_number 123
_space_group_name_Hall '-P 4 2'
loop_
_atom_site_label
_atom_site_fract_x
_atom_site_fract_y
_atom_site_fract_z
_atom_site_occupancy
Re1 0.000 0.000 0.000 1
Mo1 0.000 0.000 0.500 1
Pt1 0.500 0.500 0.500 1
I1 0.000 0.500 0.000 1
```

- size of the total moment (μB/atom) = 0.37
- N(E_F) (states/eV/f.u.) = 6.57
- E_form (uncorrected) (eV per atom) = 1.875

No. 4
## SbMoPtI2 (GGA-PBEsol)

Data for SbMoPtI2 after structural relaxation.

Cell and atoms, written as CIF:
```
data_SbMoPtI2
_cell_length_a 5.140
_cell_length_b 5.140
_cell_length_c 5.272
_cell_angle_alpha 90.00
_cell_angle_beta 90.00
_cell_angle_gamma 90.00
_space_group_name_H-M_alt 'P 4/m m m'
_space_group_IT_number 123
_space_group_name_Hall '-P 4 2'
loop_
_atom_site_label
_atom_site_fract_x
_atom_site_fract_y
_atom_site_fract_z
_atom_site_occupancy
Sb1 0.000 0.000 0.000 1
Mo1 0.000 0.000 0.500 1
Pt1 0.500 0.500 0.000 1
I1 0.000 0.500 0.500 1
```

- size of the total moment (μB/atom) = 0.00
- N(E_F) (states/eV/f.u.) = 4.67
- E_form (uncorrected) (eV per atom) = 1.123

No. 5
## RbTeMoI2 (GGA-PBEsol)

Data for RbTeMoI2 after structural relaxation.

Cell and atoms, written as CIF:
```
data_RbTeMoI2
_cell_length_a 6.400
_cell_length_b 6.400
_cell_length_c 6.313
_cell_angle_alpha 90.00
_cell_angle_beta 90.00
_cell_angle_gamma 90.00
_space_group_name_H-M_alt 'P 4/m m m'
_space_group_IT_number 123
_space_group_name_Hall '-P 4 2'
loop_
_atom_site_label
_atom_site_fract_x
_atom_site_fract_y
_atom_site_fract_z
_atom_site_occupancy
Rb1 0.000 0.000 0.000 1
Te1 0.000 0.000 0.500 1
Mo1 0.500 0.500 0.500 1
I1 0.000 0.500 0.000 1
```

- size of the total moment (μB/atom) = 0.59
- N(E_F) (states/eV/f.u.) = 5.38
- E_form (uncorrected) (eV per atom) = 1.307

No. 6
## ReMo2I (GGA-PBEsol)

Data for ReMo2I after structural relaxation.

Cell and atoms, written as CIF:
```
data_ReMo2I
_cell_length_a 6.414
_cell_length_b 6.414
_cell_length_c 6.414
_cell_angle_alpha 90.00
_cell_angle_beta 90.00
_cell_angle_gamma 90.00
_space_group_name_H-M_alt 'F m -3 m'
_space_group_IT_number 225
_space_group_name_Hall '-F 4 2 3'
loop_
_atom_site_label
_atom_site_fract_x
_atom_site_fract_y
_atom_site_fract_z
_atom_site_occupancy
Re1 0.000 0.000 0.000 1
Mo1 0.250 0.250 0.250 1
I1 0.000 0.000 0.500 1
```

- size of the total moment (μB/atom) = 0.00
- N(E_F) (states/eV/f.u.) = 4.88
- E_form (uncorrected) (eV per atom) = 0.944

No. 7
## Re3MoI (GGA-PBEsol)

Data for Re3MoI after structural relaxation.

Cell and atoms, written as CIF:
```
data_Re3MoI
_cell_length_a 4.699
_cell_length_b 4.699
_cell_length_c 4.699
_cell_angle_alpha 90.00
_cell_angle_beta 90.00
_cell_angle_gamma 90.00
_space_group_name_H-M_alt 'P m -3 m'
_space_group_IT_number 221
_space_group_name_Hall '-P 4 2 3'
loop_
_atom_site_label
_atom_site_fract_x
_atom_site_fract_y
_atom_site_fract_z
_atom_site_occupancy
Re1 0.000 0.000 0.500 1
Mo1 0.000 0.000 0.000 1
I1 0.500 0.500 0.500 1
```

- size of the total moment (μB/atom) = 0.12
- N(E_F) (states/eV/f.u.) = 7.16
- E_form (uncorrected) (eV per atom) = 2.530

No. 8
## ReTeMoI2 (GGA-PBEsol)

Data for ReTeMoI2 after structural relaxation.

Cell and atoms, written as CIF:
```
data_ReTeMoI2
_cell_length_a 5.470
_cell_length_b 5.470
_cell_length_c 5.185
_cell_angle_alpha 90.00
_cell_angle_beta 90.00
_cell_angle_gamma 90.00
_space_group_name_H-M_alt 'P 4/m m m'
_space_group_IT_number 123
_space_group_name_Hall '-P 4 2'
loop_
_atom_site_label
_atom_site_fract_x
_atom_site_fract_y
_atom_site_fract_z
_atom_site_occupancy
Re1 0.000 0.000 0.000 1
Te1 0.500 0.500 0.000 1
Mo1 0.500 0.500 0.500 1
I1 0.000 0.500 0.500 1
```

- size of the total moment (μB/atom) = 0.71
- N(E_F) (states/eV/f.u.) = 2.99
- E_form (uncorrected) (eV per atom) = 1.645

No. 9
## ReTe2MoI (GGA-PBEsol)

Data for ReTe2MoI after structural relaxation.

Cell and atoms, written as CIF:
```
data_ReTe2MoI
_cell_length_a 5.177
_cell_length_b 5.177
_cell_length_c 5.486
_cell_angle_alpha 90.00
_cell_angle_beta 90.00
_cell_angle_gamma 90.00
_space_group_name_H-M_alt 'P 4/m m m'
_space_group_IT_number 123
_space_group_name_Hall '-P 4 2'
loop_
_atom_site_label
_atom_site_fract_x
_atom_site_fract_y
_atom_site_fract_z
_atom_site_occupancy
Re1 0.000 0.000 0.000 1
Te1 0.000 0.500 0.500 1
Mo1 0.500 0.500 0.500 1
I1 0.500 0.500 0.000 1
```

- size of the total moment (μB/atom) = 0.83
- N(E_F) (states/eV/f.u.) = 4.21
- E_form (uncorrected) (eV per atom) = 1.642

No. 10
## Sb2MoRhI (GGA-PBEsol)

Data for Sb2MoRhI after structural relaxation.

Cell and atoms, written as CIF:
```
data_Sb2MoRhI
_cell_length_a 5.000
_cell_length_b 5.000
_cell_length_c 5.357
_cell_angle_alpha 90.00
_cell_angle_beta 90.00
_cell_angle_gamma 90.00
_space_group_name_H-M_alt 'P 4/m m m'
_space_group_IT_number 123
_space_group_name_Hall '-P 4 2'
loop_
_atom_site_label
_atom_site_fract_x
_atom_site_fract_y
_atom_site_fract_z
_atom_site_occupancy
Sb1 0.000 0.500 0.000 1
Mo1 0.000 0.000 0.500 1
Rh1 0.500 0.500 0.000 1
I1 0.500 0.500 0.500 1
```

- size of the total moment (μB/atom) = 0.68
- N(E_F) (states/eV/f.u.) = 4.95
- E_form (uncorrected) (eV per atom) = 1.069

No. 11
## Mo2RhSeI (GGA-PBEsol)

Data for Mo2RhSeI after structural relaxation.

Cell and atoms, written as CIF:
```
data_Mo2RhSeI
_cell_length_a 4.690
_cell_length_b 4.690
_cell_length_c 4.501
_cell_angle_alpha 90.00
_cell_angle_beta 90.00
_cell_angle_gamma 90.00
_space_group_name_H-M_alt 'P 4/m m m'
_space_group_IT_number 123
_space_group_name_Hall '-P 4 2'
loop_
_atom_site_label
_atom_site_fract_x
_atom_site_fract_y
_atom_site_fract_z
_atom_site_occupancy
Mo1 0.000 0.500 0.000 1
Rh1 0.000 0.000 0.500 1
Se1 0.000 0.000 0.000 1
I1 0.500 0.500 0.500 1
```

- size of the total moment (μB/atom) = 0.00
- N(E_F) (states/eV/f.u.) = 7.29
- E_form (uncorrected) (eV per atom) = 1.126

No. 12
## MoRuI2 (GGA-PBEsol)

Data for MoRuI2 after structural relaxation.

Cell and atoms, written as CIF:
```
data_MoRuI2
_cell_length_a 6.672
_cell_length_b 6.672
_cell_length_c 6.672
_cell_angle_alpha 90.00
_cell_angle_beta 90.00
_cell_angle_gamma 90.00
_space_group_name_H-M_alt 'F m -3 m'
_space_group_IT_number 225
_space_group_name_Hall '-F 4 2 3'
loop_
_atom_site_label
_atom_site_fract_x
_atom_site_fract_y
_atom_site_fract_z
_atom_site_occupancy
Mo1 0.000 0.000 0.000 1
Ru1 0.000 0.000 0.500 1
I1 0.250 0.250 0.250 1
```

- size of the total moment (μB/atom) = 0.00
- N(E_F) (states/eV/f.u.) = 4.21
- E_form (uncorrected) (eV per atom) = 0.975